Computed, not measured: NaCuPO4 after structural relaxation at the PBEsol level of DFT.

Computed properties:
**Density**: 3.62 g cm⁻³
**Formation energy (no corrections)**: -1.760 eV per atom
**Total magnetic moment**: 1.0 μB/f.u.

Cell: 4.776 7.203 9.677 Å, 90.00 90.00 90.00°
Space group P2_12_12_1 (No. 19)
One atom of each set of equivalent atoms:
Na 0.014 0.229 0.187 x4
Cu 0.002 0.566 0.955 x4
P 0.066 0.976 0.868 x4
O 0.168 0.039 0.724 x4
O 0.201 0.781 0.895 x4
O 0.211 0.107 0.975 x4
O 0.245 0.522 0.121 x4

Computed, not measured: ReAs2P after structural relaxation at the PBEsol level of DFT.

Computed properties:
**Density**: 9.98 g cm⁻³
**Formation energy from the elements**: 0.60 eV/atom
**Total magnetic moment**: 0.0 μB/f.u.

Cell: 4.195 3.079 4.816 Å, 90.00 100.93 90.00°
Space group P2/m (No. 10)
One atom of each set of equivalent atoms:
Re 0.000 0.000 0.000 x1
As 0.000 0.500 0.500 x1
As 0.500 0.000 0.500 x1
P 0.500 0.500 0.000 x1

Computed, not measured: Rh2WBr after structural relaxation at the PBEsol level of DFT.

Computed properties:
**Density**: 12.96 g cm⁻³
**Formation energy (no corrections)**: 0.697 eV per atom
**Total magnetic moment**: 0.0 μB/f.u.

Cell: 2.879 4.514 4.629 Å, 90.00 90.00 90.00°
Space group Pmmm (No. 47)
One atom of each set of equivalent atoms:
Rh 0.000 0.000 0.000 x1
Rh 0.500 0.000 0.500 x1
W 0.000 0.500 0.500 x1
Br 0.500 0.500 0.000 x1

Computed, not measured: Ca3SbP after structural relaxation at the PBEsol level of DFT.

Computed properties:
**Density**: 3.05 g cm⁻³
**Formation energy (no corrections)**: -1.096 eV per atom
**Total magnetic moment**: 0.0 μB/f.u.

Cell: 7.738 10.478 7.338 Å, 90.00 90.00 90.00°
Space group Pnma (No. 62)
One atom of each set of equivalent atoms:
Ca 0.044 0.250 0.109 x4
Ca 0.196 0.055 0.693 x8
Sb 0.069 0.750 0.480 x4
P 0.000 0.000 0.000 x4

Computed, not measured: K2Pb after structural relaxation at the PBEsol level of DFT.

Computed properties:
**Density**: 3.11 g cm⁻³
**Formation energy from the elements**: 0.12 eV/atom
**Total magnetic moment**: 2.0 μB/f.u.

Cell: 8.480 8.480 8.480 Å, 90.00 90.00 90.00°
Space group Fm-3m (No. 225)
One atom of each set of equivalent atoms:
K 0.250 0.250 0.250 x8
Pb 0.000 0.000 0.000 x4

Computed, not measured: Cu2Pt after structural relaxation at the PBEsol level of DFT.

Computed properties:
**Density**: 14.05 g cm⁻³
**Formation energy from the elements**: -0.10 eV/atom
**Total magnetic moment**: 0.0 μB/f.u.

Cell: 7.831 4.510 4.312 Å, 90.00 90.00 90.00°
Space group Cmcm (No. 63)
One atom of each set of equivalent atoms:
Cu 0.168 0.170 0.250 x8
Pt 0.000 0.324 0.750 x4

Computed, not measured: AlAg2Os after structural relaxation at the PBEsol level of DFT.

Computed properties:
**Density**: 11.77 g cm⁻³
**Formation energy from the elements**: 0.10 eV/atom
**Total magnetic moment**: 0.0 μB/f.u.

Cell: 2.8092 2.8092 26.8126 Å, 90.00 90.00 120.00°
Space group R3m (No. 160, hexagonal axes)
One atom of each set of equivalent atoms:
Al 0.0000 0.0000 0.0000 x3
Ag 0.0000 0.0000 0.5053 x3
Ag 0.0000 0.0000 0.7494 x3
Os 0.0000 0.0000 0.2602 x3

Computed, not measured: GdLuO3 after structural relaxation at the PBEsol level of DFT.

Computed properties:
**Density**: 9.47 g cm⁻³
**Formation energy (no corrections)**: -3.596 eV per atom
**Total magnetic moment**: 7.0 μB/f.u.

Cell: 5.849 8.166 5.583 Å, 90.00 90.00 90.00°
Space group Pnma (No. 62)
One atom of each set of equivalent atoms:
Gd 0.057 0.250 0.020 x4
Lu 0.000 0.000 0.500 x4
O 0.066 0.750 0.361 x4
O 0.193 0.574 0.811 x8

- Look up the density of the sixth one.
  14.05 g cm⁻³

- Among the records above, which one has the highest total magnetic moment?
  GdLuO3